(1)
LaIOF2: relaxed, GGA-PBE.

Summary:
Excess energy over the best structure of this formula in the dataset, eV/atom: 0.000
Raw formation energy, eV per formula unit: -11.68
Crystal system: tetragonal
Total DFT energy (no corrections), eV per atom: -5.37
Space group: No. 123
Total moment, μB/f.u.: 0.00
D(E_F), states/eV/f.u.: 3.18

Cell lengths 4.580, 4.580, 5.088 Å; angles 90.00, 90.00, 90.00 degrees
Sites, in units of the cell vectors:
I: 0.500 0.500 0.500
F: 0.000 0.500 0.000
F: 0.500 0.000 0.000
O: 0.000 0.000 0.500
La: 0.000 0.000 0.000

---

(2)
ScBr2: relaxed, GGA-PBE.

Summary:
Raw formation energy, eV per formula unit: -4.09
Crystal system: tetragonal
Total DFT energy (no corrections), eV per atom: -4.59
Space group: No. 141
Total moment, μB/f.u.: 0.00
D(E_F), states/eV/f.u.: 1.39

Cell lengths 14.877, 14.877, 14.877 Å; angles 166.88, 166.88, 18.59 degrees
Sites, in units of the cell vectors:
Sc: 0.500 0.500 0.000
Sc: 0.250 0.750 0.500
Br: 0.944 0.944 0.000
Br: 0.806 0.306 0.500
Br: 0.056 0.056 0.000
Br: 0.694 0.194 0.500